Entry 1:
Material: FeTc2Mo
Method: DFT, PBE
State: relaxed

Cell lengths 2.677, 2.677, 7.816 Å; angles 90.00, 90.00, 90.06 degrees
Fractional positions:
Tc  0.000  0.000  0.028
Tc  0.000  0.000  0.472
Mo  0.500  0.500  0.750
Fe  0.500  0.500  0.250

Values from the calculation:
energy of formation: 0.15 eV per atom
SG: No. 123
volume: 56 Å³/f.u.
VASP energy: -39.44 eV for the cell shown

Entry 2:
Material: FeTcMo
Method: DFT, PBE
State: relaxed

Cell lengths 4.348, 4.348, 2.618 Å; angles 90.00, 90.00, 120.00 degrees
Fractional positions:
Fe  0.000  0.000  0.001
Tc  0.667  0.333  0.653
Mo  0.333  0.667  0.346

Values from the calculation:
energy of formation: 0.08 eV per atom
SG: No. 156
volume: 43 Å³/f.u.
energy above the lowest structure with this stoichiometry: 0.022 eV per atom
VASP energy: -29.41 eV for the cell shown

Entry 3:
Material: FeTcMo4
Method: DFT, PBE
State: relaxed

Cell lengths 5.145, 5.145, 5.145 Å; angles 60.00, 60.00, 60.00 degrees
Fractional positions:
Tc  0.750  0.750  0.750
Mo  0.374  0.374  0.877
Mo  0.374  0.374  0.374
Mo  0.374  0.877  0.374
Mo  0.877  0.374  0.374
Fe  0.000  0.000  0.000

Values from the calculation:
energy of formation: 0.44 eV per atom
SG: No. 216
volume: 96 Å³/f.u.
VASP energy: -59.49 eV for the cell shown

Entry 4:
Material: FeTcMo
Method: DFT, PBE
State: relaxed

Cell lengths 6.105, 6.105, 6.105 Å; angles 154.83, 154.83, 35.89 degrees
Fractional positions:
Mo  0.343  0.343  0.000
Tc  0.650  0.650  0.000
Fe  0.008  0.008  0.000

Values from the calculation:
energy of formation: 0.10 eV per atom
SG: No. 107
volume: 41 Å³/f.u.
energy above the lowest structure with this stoichiometry: 0.045 eV per atom
VASP energy: -29.35 eV for the cell shown

Entry 5:
Material: FeTc3Mo
Method: DFT, PBE
State: relaxed

Cell lengths 4.352, 4.352, 4.352 Å; angles 90.00, 90.00, 90.00 degrees
Fractional positions:
Tc  0.500  0.000  0.000
Tc  0.000  0.000  0.500
Tc  0.000  0.500  0.000
Mo  0.500  0.500  0.500
Fe  0.000  0.000  0.000

Values from the calculation:
energy of formation: 1.30 eV per atom
SG: No. 221
volume: 82 Å³/f.u.
energy above the lowest structure with this stoichiometry: 0.000 eV per atom
VASP energy: -43.88 eV for the cell shown

Entry 6:
Material: FeTcMo2
Method: DFT, PBE
State: relaxed

Cell lengths 5.077, 5.077, 5.077 Å; angles 143.95, 129.76, 63.38 degrees
Fractional positions:
Fe  0.250  0.750  0.500
Mo  0.501  0.501  0.000
Mo  0.999  0.999  0.000
Tc  0.750  0.250  0.500

Values from the calculation:
energy of formation: 0.10 eV per atom
SG: No. 71
volume: 59 Å³/f.u.
energy above the lowest structure with this stoichiometry: 0.001 eV per atom
VASP energy: -40.07 eV for the cell shown

Entry 7:
Material: FeTcMo
Method: DFT, PBE
State: relaxed

Cell lengths 2.708, 2.708, 6.660 Å; angles 90.00, 90.00, 120.00 degrees
Fractional positions:
Mo  0.667  0.333  0.325
Fe  0.000  0.000  0.992
Tc  0.333  0.667  0.684

Values from the calculation:
energy of formation: 0.23 eV per atom
SG: No. 156
volume: 42 Å³/f.u.
energy above the lowest structure with this stoichiometry: 0.175 eV per atom
VASP energy: -28.96 eV for the cell shown

Entry 8:
Material: Fe2TcMo
Method: DFT, PBE
State: relaxed

Cell lengths 8.650, 8.650, 8.650 Å; angles 18.09, 18.09, 18.09 degrees
Fractional positions:
Tc  0.745  0.745  0.745
Fe  0.256  0.256  0.256
Fe  0.996  0.996  0.996
Mo  0.503  0.503  0.503

Values from the calculation:
energy of formation: 0.24 eV per atom
SG: No. 160
volume: 54 Å³/f.u.
energy above the lowest structure with this stoichiometry: 0.165 eV per atom
VASP energy: -37.18 eV for the cell shown